Record 1
Below is a relaxed Cr2PBr crystal, with properties calculated at the GGA-PBE level.

a = 3.468 Å, b = 3.468 Å, c = 6.874 Å
α = 90.00°, β = 90.00°, γ = 90.00°
Atoms (fractional coordinates):
Cr 0.000 0.000 0.000
Cr 0.500 0.500 0.389
P 0.000 0.000 0.344
Br 0.500 0.500 0.799



Record 2
Below is a relaxed Cr2PBr crystal, with properties calculated at the GGA-PBE level.

a = 13.012 Å, b = 3.450 Å, c = 3.467 Å
α = 90.00°, β = 99.17°, γ = 90.00°
Atoms (fractional coordinates):
Cr 0.000 0.000 0.000
Cr 0.152 0.000 0.639
Cr 0.500 0.500 0.000
Cr 0.652 0.500 0.639
P 0.123 0.500 0.131
P 0.623 0.000 0.131
Br 0.363 0.000 0.733
Br 0.863 0.500 0.733



Record 3
Below is a relaxed Cr2PBr crystal, with properties calculated at the GGA-PBE level.

a = 3.409 Å, b = 3.783 Å, c = 6.323 Å
α = 90.00°, β = 90.00°, γ = 90.00°
Atoms (fractional coordinates):
Cr 0.000 0.000 0.000
Cr 0.000 0.500 0.500
P 0.500 0.000 0.500
Br 0.500 0.500 0.000



Record 4
Below is a relaxed CrP2Br crystal, with properties calculated at the GGA-PBE level.

a = 4.808 Å, b = 4.808 Å, c = 2.977 Å
α = 90.00°, β = 90.00°, γ = 90.00°
Atoms (fractional coordinates):
Cr 0.000 0.000 0.000
P 0.000 0.500 0.500
P 0.500 0.000 0.500
Br 0.500 0.500 0.000



Record 5
Below is a relaxed CrP2Br crystal, with properties calculated at the GGA-PBE level.

a = 3.186 Å, b = 3.186 Å, c = 25.008 Å
α = 90.00°, β = 90.00°, γ = 120.00°
Atoms (fractional coordinates):
Cr 0.000 0.000 0.000
Cr 0.333 0.667 0.667
Cr 0.667 0.333 0.333
P 0.000 0.000 0.463
P 0.000 0.000 0.742
P 0.333 0.667 0.130
P 0.333 0.667 0.409
P 0.667 0.333 0.075
P 0.667 0.333 0.796
Br 0.000 0.000 0.270
Br 0.333 0.667 0.937
Br 0.667 0.333 0.604



Record 6
Below is a relaxed CrP2Br crystal, with properties calculated at the GGA-PBE level.

a = 4.901 Å, b = 3.151 Å, c = 5.050 Å
α = 90.00°, β = 110.53°, γ = 90.00°
Atoms (fractional coordinates):
Cr 0.000 0.000 0.000
P 0.148 0.500 0.380
P 0.852 0.500 0.620
Br 0.500 0.000 0.000



Record 7
Below is a relaxed Cr2PBr crystal, with properties calculated at the GGA-PBE level.

a = 3.330 Å, b = 3.283 Å, c = 6.937 Å
α = 90.00°, β = 93.16°, γ = 90.00°
Atoms (fractional coordinates):
Cr 0.085 0.000 0.312
Cr 0.915 0.000 0.688
P 0.500 0.500 0.500
Br 0.000 0.500 0.000



Record 8
Below is a relaxed CrP2Br crystal, with properties calculated at the GGA-PBE level.

a = 7.846 Å, b = 3.347 Å, c = 7.731 Å
α = 90.00°, β = 108.63°, γ = 90.00°
Atoms (fractional coordinates):
Cr 0.000 0.000 0.000
Cr 0.500 0.500 0.000
P 0.087 0.500 0.259
P 0.240 0.500 0.086
P 0.587 0.000 0.259
P 0.740 0.000 0.086
Br 0.391 0.000 0.742
Br 0.891 0.500 0.742



Record 9
Below is a relaxed Cr2PBr crystal, with properties calculated at the GGA-PBE level.

a = 6.130 Å, b = 6.130 Å, c = 6.130 Å
α = 90.00°, β = 90.00°, γ = 90.00°
Atoms (fractional coordinates):
Cr 0.250 0.250 0.250
Cr 0.250 0.250 0.750
Cr 0.250 0.750 0.250
Cr 0.250 0.750 0.750
Cr 0.750 0.250 0.250
Cr 0.750 0.250 0.750
Cr 0.750 0.750 0.250
Cr 0.750 0.750 0.750
P 0.000 0.000 0.000
P 0.000 0.500 0.500
P 0.500 0.000 0.500
P 0.500 0.500 0.000
Br 0.000 0.000 0.500
Br 0.000 0.500 0.000
Br 0.500 0.000 0.000
Br 0.500 0.500 0.500



Record 10
Below is a relaxed CrP2Br crystal, with properties calculated at the GGA-PBE level.

a = 7.397 Å, b = 2.758 Å, c = 8.492 Å
α = 90.00°, β = 106.06°, γ = 90.00°
Atoms (fractional coordinates):
Cr 0.000 0.000 0.000
Cr 0.500 0.500 0.000
P 0.172 0.500 0.879
P 0.328 0.000 0.121
P 0.672 0.000 0.879
P 0.828 0.500 0.121
Br 0.000 0.500 0.500
Br 0.500 0.000 0.500



Record 11
Below is a relaxed CrP2Br crystal, with properties calculated at the GGA-PBE level.

a = 4.342 Å, b = 3.290 Å, c = 7.710 Å
α = 90.00°, β = 91.63°, γ = 90.00°
Atoms (fractional coordinates):
Cr 0.000 0.000 0.000
P 0.207 0.500 0.759
P 0.485 0.000 0.875
Br 0.991 0.500 0.236



Record 12
Below is a relaxed CrP2Br crystal, with properties calculated at the GGA-PBE level.

a = 4.804 Å, b = 9.800 Å, c = 3.127 Å
α = 90.00°, β = 90.00°, γ = 90.00°
Atoms (fractional coordinates):
Cr 0.000 0.000 0.000
Cr 0.500 0.500 0.000
P 0.250 0.250 0.500
P 0.250 0.750 0.500
P 0.750 0.250 0.500
P 0.750 0.750 0.500
Br 0.000 0.500 0.000
Br 0.500 0.000 0.000



Record 13
Below is a relaxed CrP2Br crystal, with properties calculated at the GGA-PBE level.

a = 6.204 Å, b = 6.204 Å, c = 6.204 Å
α = 90.00°, β = 90.00°, γ = 90.00°
Atoms (fractional coordinates):
Cr 0.000 0.000 0.000
Cr 0.000 0.500 0.500
Cr 0.500 0.000 0.500
Cr 0.500 0.500 0.000
P 0.000 0.000 0.500
P 0.000 0.500 0.000
P 0.250 0.250 0.750
P 0.250 0.750 0.250
P 0.500 0.000 0.000
P 0.500 0.500 0.500
P 0.750 0.250 0.250
P 0.750 0.750 0.750
Br 0.250 0.250 0.250
Br 0.250 0.750 0.750
Br 0.750 0.250 0.750
Br 0.750 0.750 0.250



Record 14
Below is a relaxed CrP2Br crystal, with properties calculated at the GGA-PBE level.

a = 5.888 Å, b = 5.888 Å, c = 10.833 Å
α = 90.00°, β = 90.00°, γ = 90.00°
Atoms (fractional coordinates):
Cr 0.000 0.000 0.000
Cr 0.000 0.500 0.250
Cr 0.500 0.000 0.750
Cr 0.500 0.500 0.500
P 0.144 0.250 0.125
P 0.250 0.644 0.375
P 0.250 0.856 0.875
P 0.356 0.250 0.625
P 0.644 0.750 0.625
P 0.750 0.144 0.875
P 0.750 0.356 0.375
P 0.856 0.750 0.125
Br 0.000 0.000 0.500
Br 0.000 0.500 0.750
Br 0.500 0.000 0.250
Br 0.500 0.500 0.000



Record 15
Below is a relaxed Cr2PBr crystal, with properties calculated at the GGA-PBE level.

a = 3.613 Å, b = 6.241 Å, c = 7.264 Å
α = 90.00°, β = 90.00°, γ = 90.00°
Atoms (fractional coordinates):
Cr 0.000 0.000 0.208
Cr 0.000 0.000 0.792
Cr 0.500 0.500 0.208
Cr 0.500 0.500 0.792
P 0.000 0.500 0.000
P 0.500 0.000 0.000
Br 0.000 0.500 0.500
Br 0.500 0.000 0.500



Number 1: E_form (uncorrected) 89.7 meV per atom, energy above the lowest structure with this stoichiometry 0.257 eV per atom. Number 2: E_form (uncorrected) -167.5 meV per atom, energy above the lowest structure with this stoichiometry 0.000 eV per atom. Number 3: E_form (uncorrected) 361.9 meV per atom, energy above the lowest structure with this stoichiometry 0.529 eV per atom. Number 4: E_form (uncorrected) 799.2 meV per atom, energy above the lowest structure with this stoichiometry 0.950 eV per atom. Number 5: E_form (uncorrected) 198.4 meV per atom, energy above the lowest structure with this stoichiometry 0.349 eV per atom. Number 6: E_form (uncorrected) 54.8 meV per atom, energy above the lowest structure with this stoichiometry 0.205 eV per atom. Number 7: E_form (uncorrected) 103.4 meV per atom, energy above the lowest structure with this stoichiometry 0.271 eV per atom. Number 8: E_form (uncorrected) -101.3 meV per atom, energy above the lowest structure with this stoichiometry 0.049 eV per atom. Number 9: E_form (uncorrected) 447.7 meV per atom, energy above the lowest structure with this stoichiometry 0.615 eV per atom. Number 10: E_form (uncorrected) 26.6 meV per atom, energy above the lowest structure with this stoichiometry 0.177 eV per atom. Number 11: E_form (uncorrected) -150.5 meV per atom, energy above the lowest structure with this stoichiometry 0.000 eV per atom. Number 12: E_form (uncorrected) 735.5 meV per atom, energy above the lowest structure with this stoichiometry 0.886 eV per atom. Number 13: E_form (uncorrected) 843.9 meV per atom, energy above the lowest structure with this stoichiometry 0.994 eV per atom. Number 14: E_form (uncorrected) 401.6 meV per atom, energy above the lowest structure with this stoichiometry 0.552 eV per atom. Number 15: E_form (uncorrected) 167.4 meV per atom, energy above the lowest structure with this stoichiometry 0.335 eV per atom.